a) VASP calculation (PBEsol) on a relaxed LiCoMo2 crystal.

The calculated volume comes out at 56.3 Å³ per cell. Its space group is R-3m. Its size of the total moment is 1.0 μB/cell.

abc: 2.655 2.655 9.351
angles: 81.84 81.84 60.00
Fractional coordinates of all 4 atoms:
Co: 0.500 0.500 0.500
Mo: 0.758 0.758 0.727
Li: 0.000 0.000 0.000
Mo: 0.242 0.242 0.273

***

b) VASP calculation (PBEsol) on a relaxed LiCoMo2 crystal.

The calculated volume comes out at 51.4 Å³ per cell. Its space group is P2/m. Its size of the total moment is 0.0 μB/cell.

abc: 2.593 3.928 5.133
angles: 90.00 100.83 90.00
Fractional coordinates of all 4 atoms:
Mo: 0.996 0.000 0.750
Mo: 0.004 0.000 0.250
Li: 0.500 0.500 0.500
Co: 0.500 0.500 0.000

***

Which of them is least stable? Easy: a).

***

a) VASP calculation (PBEsol) on a relaxed LiCoMo2 crystal.

The calculated volume comes out at 51.6 Å³ per cell. Its space group is I4/mmm. Its size of the total moment is 0.8 μB/cell.

abc: 3.627 3.627 4.689
angles: 112.76 112.76 90.00
Fractional coordinates of all 4 atoms:
Li: 0.000 0.000 0.000
Mo: 0.750 0.250 0.500
Co: 0.500 0.500 0.000
Mo: 0.250 0.750 0.500

***

b) VASP calculation (PBEsol) on a relaxed LiCoMo2 crystal.

The calculated volume comes out at 111.9 Å³ per cell. Its space group is I-42d. Its size of the total moment is 0.0 μB/cell.

abc: 4.927 5.365 5.365
angles: 77.83 62.67 62.67
Fractional coordinates of all 8 atoms:
Mo: 0.875 0.467 0.033
Mo: 0.658 0.967 0.467
Li: 0.500 0.000 0.000
Co: 0.750 0.500 0.500
Mo: 0.092 0.033 0.533
Li: 0.250 0.500 0.500
Mo: 0.375 0.533 0.967
Co: 0.000 0.000 0.000

***

c) VASP calculation (PBEsol) on a relaxed LiCoMo2 crystal.

The calculated volume comes out at 55.3 Å³ per cell. Its space group is Cmmm. Its size of the total moment is 0.0 μB/cell.

abc: 2.570 2.570 8.447
angles: 90.00 90.00 97.68
Fractional coordinates of all 4 atoms:
Mo: 0.000 0.000 0.721
Co: 0.500 0.500 0.500
Li: 0.500 0.500 0.000
Mo: 0.000 0.000 0.279

***

Which of them is least stable? Easy: b).

***

a) VASP calculation (PBEsol) on a relaxed Li3CoNi crystal.

The calculated volume comes out at 77.4 Å³ per cell. Its space group is Pm-3m. Its size of the total moment is 1.9 μB/cell.

abc: 4.261 4.261 4.261
angles: 90.00 90.00 90.00
Fractional coordinates of all 5 atoms:
Ni: 0.000 0.000 0.000
Li: 0.500 0.000 0.000
Li: 0.000 0.000 0.500
Li: 0.000 0.500 0.000
Co: 0.500 0.500 0.500

***

b) VASP calculation (PBEsol) on a relaxed Li3CoNi crystal.

The calculated volume comes out at 79.7 Å³ per cell. Its space group is Pm-3m. Its size of the total moment is 1.8 μB/cell.

abc: 4.303 4.303 4.303
angles: 90.00 90.00 90.00
Fractional coordinates of all 5 atoms:
Li: 0.000 0.000 0.500
Ni: 0.500 0.500 0.500
Li: 0.000 0.500 0.000
Li: 0.500 0.000 0.000
Co: 0.000 0.000 0.000

***

Which of them is least stable? Easy: b).

***

a) VASP calculation (PBEsol) on a relaxed Li3CoNi3O8 crystal.

The calculated volume comes out at 129.5 Å³ per cell. Its space group is R-3m. Its size of the total moment is 2.0 μB/cell.

abc: 5.645 5.645 5.714
angles: 60.40 60.40 60.00
Fractional coordinates of all 15 atoms:
Ni: 0.500 0.000 0.000
O: 0.748 0.232 0.788
O: 0.261 0.261 0.217
Li: 0.500 0.000 0.500
O: 0.232 0.748 0.788
Ni: 0.000 0.500 0.000
Co: 0.000 0.000 0.000
O: 0.252 0.768 0.212
O: 0.739 0.739 0.783
O: 0.232 0.232 0.788
O: 0.768 0.768 0.212
Li: 0.000 0.000 0.500
Li: 0.000 0.500 0.500
Ni: 0.500 0.500 0.000
O: 0.768 0.252 0.212

***

b) VASP calculation (PBEsol) on a relaxed Li3CoNi3O8 crystal.

The calculated volume comes out at 388.8 Å³ per cell. Its space group is P-1. Its size of the total moment is 6.0 μB/cell.

abc: 5.595 5.686 14.037
angles: 89.44 89.99 60.55
Fractional coordinates of all 45 atoms:
Ni: 0.500 0.000 0.500
O: 0.484 0.016 0.239
O: 0.656 0.185 0.430
O: 0.352 0.316 0.094
Li: 0.164 0.669 0.667
O: 0.648 0.684 0.906
O: 0.344 0.815 0.570
O: 0.668 0.659 0.429
Ni: 0.834 0.334 0.833
O: 0.826 0.847 0.573
Li: 0.836 0.331 0.333
O: 0.329 0.841 0.095
Ni: 0.668 0.165 0.169
Ni: 0.000 0.000 0.500
Co: 0.833 0.832 0.837
Li: 0.333 0.835 0.333
O: 0.172 0.661 0.430
Ni: 0.669 0.666 0.167
Li: 0.500 0.500 0.000
O: 0.516 0.984 0.761
Li: 0.667 0.165 0.667
Co: 0.500 0.500 0.500
O: 0.171 0.155 0.901
O: 0.332 0.341 0.571
O: 0.174 0.153 0.427
Li: 0.500 0.000 0.000
Ni: 0.332 0.835 0.831
O: 0.671 0.159 0.905
O: 0.989 0.519 0.766
O: 0.011 0.481 0.234
Ni: 0.000 0.500 0.500
O: 0.833 0.317 0.094
O: 0.167 0.683 0.906
Co: 0.167 0.168 0.163
O: 0.000 0.017 0.239
Ni: 0.166 0.666 0.167
O: 0.000 0.983 0.761
Li: 0.333 0.331 0.333
Ni: 0.331 0.334 0.833
O: 0.499 0.502 0.762
O: 0.829 0.845 0.099
O: 0.828 0.339 0.570
Li: 0.000 0.000 0.000
O: 0.501 0.498 0.238
Li: 0.667 0.669 0.667

***

Which of them is least stable? Easy: a).